A geometry-optimized Rb2CuBF6 structure, computed with PBE.

Values from the calculation:
volume	157	Å³/f.u.
total DFT energy (no corrections)	-46.41	eV/f.u.
DOS(E_F)	0.000	states/eV/atom

Lattice parameters (Å, degrees): 6.1271 6.1271 6.0294 59.46 59.46 90.00
Fractional coordinates of all 10 atoms:
B1 0.5000 0.5000 0.0000
Cu1 0.0000 0.0000 0.0000
F1 0.2194 0.2194 0.5613
F2 0.3257 0.6743 0.0000
F3 0.6743 0.6743 0.0000
F4 0.7806 0.7806 0.4387
Rb1 0.7500 0.2500 0.5000
F5 0.3257 0.3257 0.0000
Rb2 0.2500 0.7500 0.5000
F6 0.6743 0.3257 0.0000